[1]
# Gd2ErTh, optimized geometry, DFT PBE
# - N(E_F) (states/eV/f.u.) = 5.4
# - mass density (Mg/m³) = 9.14
# - VASP energy (eV per atom) = -9.885
# - total moment (μB per formula unit) = 17.04
data_Gd2ErTh
_chemical_formula_sum 'Gd8 Er4 Th4'
_space_group_name_H-M_alt 'F m -3 m'
_space_group_IT_number 225
_space_group_name_Hall '-F 4 2 3'
_cell_length_a 8.034
_cell_length_b 8.034
_cell_length_c 8.034
_cell_angle_alpha 90.00
_cell_angle_beta 90.00
_cell_angle_gamma 90.00
loop_
_atom_site_label
_atom_site_fract_x
_atom_site_fract_y
_atom_site_fract_z
Gd1 0.250 0.250 0.250
Er1 0.000 0.000 0.000
Th1 0.000 0.000 0.500

[2]
# GdEr2Th, optimized geometry, DFT PBE
# - N(E_F) (states/eV/f.u.) = 5.9
# - mass density (Mg/m³) = 9.49
# - VASP energy (eV per atom) = -7.632
# - total moment (μB per formula unit) = 7.53
data_GdEr2Th
_chemical_formula_sum 'Gd1 Er2 Th1'
_space_group_name_H-M_alt 'P 4/m m m'
_space_group_IT_number 123
_space_group_name_Hall '-P 4 2'
_cell_length_a 3.564
_cell_length_b 3.564
_cell_length_c 9.968
_cell_angle_alpha 90.00
_cell_angle_beta 90.00
_cell_angle_gamma 90.00
loop_
_atom_site_label
_atom_site_fract_x
_atom_site_fract_y
_atom_site_fract_z
Gd1 0.000 0.000 0.000
Er1 0.500 0.500 0.257
Th1 0.000 0.000 0.500

[3]
# GdEr2Th, optimized geometry, DFT PBE
# - N(E_F) (states/eV/f.u.) = 7.4
# - mass density (Mg/m³) = 9.45
# - VASP energy (eV per atom) = -7.536
# - total moment (μB per formula unit) = 7.43
data_GdEr2Th
_chemical_formula_sum 'Gd4 Er8 Th4'
_space_group_name_H-M_alt 'F m -3 m'
_space_group_IT_number 225
_space_group_name_Hall '-F 4 2 3'
_cell_length_a 7.982
_cell_length_b 7.982
_cell_length_c 7.982
_cell_angle_alpha 90.00
_cell_angle_beta 90.00
_cell_angle_gamma 90.00
loop_
_atom_site_label
_atom_site_fract_x
_atom_site_fract_y
_atom_site_fract_z
Gd1 0.000 0.000 0.000
Er1 0.250 0.250 0.250
Th1 0.000 0.000 0.500

The highest mass density belongs to which entry?
number 2

Among the records above, which one has the lowest mass density?
Gd2ErTh

Which of these has the lowest N(E_F)?
Gd2ErTh

Which value of VASP energy does entry 3 give?
-7.536 eV per atom